# RbLi2HfOs PBE optimized geometry
data_RbLi2HfOs
_cell_length_a 4.1523
_cell_length_b 5.6404
_cell_length_c 4.1523
_cell_angle_alpha 90.00
_cell_angle_beta 90.00
_cell_angle_gamma 90.00
_symmetry_space_group_name_H-M 'P 1'
_symmetry_Int_Tables_number 1
_symmetry_space_group_name_Hall 'P 1'
loop_
_atom_site_label
_atom_site_type_symbol
_atom_site_fract_x
_atom_site_fract_y
_atom_site_fract_z
Hf1 Hf 0.0000 0.5000 0.0000
Os1 Os 0.5000 0.5000 0.5000
Rb1 Rb 0.0000 0.0000 0.0000
Li1 Li 0.0000 0.0000 0.5000
Li2 Li 0.5000 0.0000 0.0000
# ρ = 7992 kg/m³
# V = 19.4 Å³/atom
# Total moment = 0.0 μB/f.u.
# Density of states at the Fermi level = 2.348 states/eV/f.u.
# Crystal system = tetragonal
# VASP energy = -17.65 eV per formula unit